The following is a DFT calculation (GGA-PBE) of a relaxed TaTcSe2 crystal.

energy above the lowest structure with this stoichiometry: 449 meV per atom
space group: Imm2
ΔE_f (raw): 3.44 kJ/mol of atoms
density of states at the Fermi level: 3.2 states/eV per cell

Structure (POSCAR):
```
TaTcSe2
1.0
-1.590 2.204 4.815
1.590 -2.204 4.815
1.590 2.204 -4.815
Ta Tc Se
1 1 2
Direct
0.000 0.000 0.000
0.277 0.777 0.500
0.483 0.483 0.000
0.766 0.266 0.500
```